1.
Computed, not measured: a geometry-optimized Pr7Al2Sn2 structure at the GGA-PBE level of DFT.

## Properties
The final energy comes out at -0.3407 Ry per atom. Its crystal system is orthorhombic.

Unit cell a=7.029 b=7.029 c=7.866 alpha=90.00 beta=90.00 gamma=109.00
Fractional coordinates of all 11 atoms:
Pr1 0.000 0.000 0.000
Pr2 0.000 0.500 0.296
Pr3 0.000 0.500 0.704
Pr4 0.500 0.000 0.296
Pr5 0.500 0.000 0.704
Pr6 0.500 0.500 0.275
Pr7 0.500 0.500 0.725
Al1 0.162 0.162 0.500
Al2 0.838 0.838 0.500
Sn1 0.292 0.708 0.000
Sn2 0.708 0.292 0.000

---

2.
Computed, not measured: a geometry-optimized Pr5AlSn5 structure at the GGA-PBE level of DFT.

## Properties
The final energy comes out at -0.3455 Ry per atom. Its crystal system is orthorhombic.

Unit cell a=9.808 b=9.808 c=9.808 alpha=145.44 beta=140.23 gamma=53.69
Fractional coordinates of all 11 atoms:
Pr1 0.000 0.000 0.000
Pr2 0.171 0.671 0.500
Pr3 0.320 0.320 0.000
Pr4 0.680 0.680 0.000
Pr5 0.829 0.329 0.500
Al1 0.500 0.000 0.500
Sn1 0.109 0.844 0.265
Sn2 0.421 0.156 0.265
Sn3 0.500 0.500 0.000
Sn4 0.579 0.844 0.735
Sn5 0.891 0.156 0.735

---

3.
Computed, not measured: a geometry-optimized Pr2AlSn2 structure at the GGA-PBE level of DFT.

## Properties
The final energy comes out at -0.3611 Ry per atom. Its energy relative to the lowest polymorph listed for this composition is 0.000 kcal/mol of atoms. Its crystal system is triclinic.

Unit cell a=4.556 b=6.324 c=10.546 alpha=79.89 beta=77.57 gamma=68.97
Fractional coordinates of all 10 atoms:
Pr1 0.007 0.160 0.327
Pr2 0.184 0.241 0.888
Pr3 0.816 0.759 0.112
Pr4 0.993 0.840 0.673
Al1 0.294 0.592 0.321
Al2 0.706 0.408 0.679
Sn1 0.347 0.244 0.561
Sn2 0.461 0.687 0.891
Sn3 0.539 0.313 0.109
Sn4 0.653 0.756 0.439